Entry 1:
Material: MnPS3
Method: DFT, PBEsol
State: optimized geometry

Structure (POSCAR):
```
MnPS3
1.0
-1.1693 -5.4230 2.0798
-0.2513 1.0538 -5.8248
6.7167 -0.1131 0.6873
P S Mn
2 6 2
Direct
0.0563 0.0563 0.1700
0.9437 0.9437 0.8300
0.7462 0.7462 0.2446
0.2538 0.2538 0.7554
0.0808 0.4152 0.2457
0.4152 0.0808 0.2457
0.5848 0.9192 0.7543
0.9192 0.5848 0.7543
0.6674 0.3326 0.0000
0.3326 0.6674 0.0000
```

Results
Size of the total moment = 9.3 μB per cell
Density of states at the Fermi level = 5.10 states/eV per cell
Energy relative to the elements, uncorrected = -0.349 eV/atom
E_tot = -0.2238 hartree per atom

---

Entry 2:
Material: MnSbPS2
Method: DFT, PBEsol
State: optimized geometry

Structure (POSCAR):
```
MnSbPS2
1.0
4.9157 0.0000 0.0000
0.0000 4.9157 0.0000
0.0000 0.0000 4.9673
Sb S Mn P
1 2 1 1
Direct
0.0000 0.0000 0.0000
0.0000 0.5000 0.0000
0.5000 0.0000 0.0000
0.5000 0.5000 0.5000
0.0000 0.0000 0.5000
```

Results
Size of the total moment = 4.7 μB per cell
Density of states at the Fermi level = 3.87 states/eV per cell
Energy relative to the elements, uncorrected = 0.901 eV/atom
E_tot = -0.1791 hartree per atom

---

Entry 3:
Material: ScMnPS2
Method: DFT, PBEsol
State: optimized geometry

Structure (POSCAR):
```
ScMnPS2
1.0
4.4495 0.0000 0.0000
0.0000 4.4495 0.0000
0.0000 0.0000 4.4409
Sc P S Mn
1 1 2 1
Direct
0.5000 0.5000 0.5000
0.0000 0.0000 0.5000
0.0000 0.5000 0.0000
0.5000 0.0000 0.0000
0.0000 0.0000 0.0000
```

Results
Size of the total moment = 3.1 μB per cell
Density of states at the Fermi level = 2.65 states/eV per cell
Energy relative to the elements, uncorrected = -0.353 eV/atom
E_tot = -0.2403 hartree per atom

---

Entry 4:
Material: MnTlPS2
Method: DFT, PBEsol
State: optimized geometry

Structure (POSCAR):
```
MnTlPS2
1.0
4.9816 0.0000 0.0000
0.0000 5.0152 0.0000
0.0000 0.0000 5.0152
P Tl Mn S
1 1 1 2
Direct
0.5000 0.0000 0.0000
0.0000 0.0000 0.0000
0.5000 0.5000 0.5000
0.0000 0.0000 0.5000
0.0000 0.5000 0.0000
```

Results
Size of the total moment = 4.0 μB per cell
Density of states at the Fermi level = 4.62 states/eV per cell
Energy relative to the elements, uncorrected = 1.217 eV/atom
E_tot = -0.1534 hartree per atom

---

Entry 5:
Material: MnZnP2S
Method: DFT, PBEsol
State: optimized geometry

Structure (POSCAR):
```
MnZnP2S
1.0
-1.7731 2.0908 3.0839
-1.2413 -3.5517 1.6942
4.3448 -0.2470 2.6655
P Zn Mn S
2 1 1 1
Direct
0.0000 0.5000 0.0000
0.5000 0.0000 0.0000
0.5000 0.5000 0.5000
0.0000 0.0000 0.0000
0.0000 0.0000 0.5000
```

Results
Size of the total moment = 0.0 μB per cell
Density of states at the Fermi level = 3.11 states/eV per cell
Energy relative to the elements, uncorrected = 0.375 eV/atom
E_tot = -0.1869 hartree per atom

---

Entry 6:
Material: Mn2SbP
Method: DFT, PBEsol
State: optimized geometry

Structure (POSCAR):
```
Mn2SbP
1.0
-1.4587 -1.3996 -2.5552
1.3727 -2.4276 0.5460
-4.0291 -1.1513 5.0108
Mn P Sb
2 1 1
Direct
0.2074 0.0000 0.0398
0.3802 0.5000 0.3850
0.8302 0.0000 0.2850
0.5822 0.5000 0.7902
```

Results
Size of the total moment = 0.7 μB per cell
Density of states at the Fermi level = 2.82 states/eV per cell
Energy relative to the elements, uncorrected = -0.173 eV/atom
E_tot = -0.2808 hartree per atom